A geometry-optimized Sc2SiIr structure. Source: Alexandria, functional GGA-PBEsol.

a b c (Å): 3.8571 3.8571 8.8756
angles (deg): 90.00 90.00 90.00
Space group I-4m2 (No. 119)
Asymmetric unit:
1 Sc 0.0000 0.0000 0.0000 x2
2 Sc 0.0000 0.5000 0.2500 x2
3 Si 0.0000 0.0000 0.5000 x2
4 Ir 0.0000 0.5000 0.7500 x2

- DOS at the Fermi energy (states/eV/cell) = 4.37
- uncorrected formation energy (meV per atom) = -705